# Rb3Cd PBEsol relaxed
# crystal system = cubic
# density of states at the Fermi level = 9.654 states/eV/cell
# final energy = -15.5 eV per cell
# calculated formation energy = 0.098 eV per atom
# spin magnetization = 0.0 μB/cell
data_Rb3Cd
_chemical_formula_sum 'Rb12 Cd4'
_space_group_name_H-M_alt 'F m -3 m'
_space_group_IT_number 225
_space_group_name_Hall '-F 4 2 3'
_cell_length_a 9.6170
_cell_length_b 9.6170
_cell_length_c 9.6170
_cell_angle_alpha 90.00
_cell_angle_beta 90.00
_cell_angle_gamma 90.00
loop_
_atom_site_label
_atom_site_type_symbol
_atom_site_fract_x
_atom_site_fract_y
_atom_site_fract_z
_atom_site_occupancy
Rb1 Rb 0.0000 0.0000 0.0000 1
Rb2 Rb 0.2500 0.2500 0.2500 1
Cd1 Cd 0.0000 0.0000 0.5000 1

***

# RbCd13 PBEsol relaxed
# crystal system = cubic
# density of states at the Fermi level = 21.527 states/eV/cell
# final energy = -141.1 eV per cell
# calculated formation energy = -0.075 eV per atom
# spin magnetization = 0.0 μB/cell
data_RbCd13
_chemical_formula_sum 'Rb8 Cd104'
_space_group_name_H-M_alt 'F m -3 c'
_space_group_IT_number 226
_space_group_name_Hall '-F 4a 2 3'
_cell_length_a 13.7012
_cell_length_b 13.7012
_cell_length_c 13.7012
_cell_angle_alpha 90.00
_cell_angle_beta 90.00
_cell_angle_gamma 90.00
loop_
_atom_site_label
_atom_site_type_symbol
_atom_site_fract_x
_atom_site_fract_y
_atom_site_fract_z
_atom_site_occupancy
Rb1 Rb 0.2500 0.2500 0.2500 1
Cd1 Cd 0.0000 0.0000 0.0000 1
Cd2 Cd 0.0000 0.1207 0.1802 1

***

# RbCdRe2Tc PBEsol relaxed
# crystal system = tetragonal
# density of states at the Fermi level = 7.055 states/eV/cell
# final energy = -21.6 eV per cell
# calculated formation energy = 3.707 eV per atom
# spin magnetization = 2.3 μB/cell
data_RbCdRe2Tc
_chemical_formula_sum 'Rb1 Cd1 Re2 Tc1'
_space_group_name_H-M_alt 'P 4/m m m'
_space_group_IT_number 123
_space_group_name_Hall '-P 4 2'
_cell_length_a 4.6901
_cell_length_b 4.6901
_cell_length_c 4.5851
_cell_angle_alpha 90.00
_cell_angle_beta 90.00
_cell_angle_gamma 90.00
loop_
_atom_site_label
_atom_site_type_symbol
_atom_site_fract_x
_atom_site_fract_y
_atom_site_fract_z
_atom_site_occupancy
Rb1 Rb 0.0000 0.0000 0.0000 1
Cd1 Cd 0.5000 0.5000 0.5000 1
Re1 Re 0.0000 0.5000 0.0000 1
Tc1 Tc 0.0000 0.0000 0.5000 1